Entry 1:
PBE Rb3Li2TlF9, optimized geometry; density of states at the Fermi level = 14.01 states/eV per cell; uncorrected formation energy = -35.867 eV per formula unit
1.0
6.021 0.000 0.000
-3.010 5.214 0.000
0.000 0.000 7.528
F Li Tl Rb
9 2 1 3
Cartesian
4.488 0.885 5.054
3.010 3.444 5.054
1.505 2.607 0.000
1.533 0.885 5.054
-1.477 4.329 2.475
0.000 1.770 2.475
1.477 4.329 2.475
-1.505 2.607 0.000
3.010 0.000 0.000
0.000 3.476 1.225
3.010 1.738 6.304
0.000 0.000 3.764
3.010 1.738 2.385
0.000 3.476 5.144
0.000 0.000 0.000

Entry 2:
PBE RbLiTmF5, optimized geometry; density of states at the Fermi level = 0.00 states/eV per cell; uncorrected formation energy = -28.248 eV per formula unit
1.0
-1.591 3.754 4.783
-5.043 -0.478 -3.720
0.581 -7.437 3.466
F Li Rb Tm
10 2 2 2
Cartesian
-3.275 -6.585 0.951
-4.371 -4.681 3.304
-4.679 -2.069 -2.315
-1.853 -3.763 1.825
-4.201 -0.398 2.704
-1.464 -0.290 4.394
-1.683 0.520 1.225
-2.779 2.424 3.578
-4.590 -3.871 0.134
-1.374 -2.092 6.844
-2.528 0.568 2.983
-3.525 -4.729 1.546
-3.734 -0.910 0.014
-2.320 -3.251 4.514
0.000 0.000 0.000
0.290 -3.719 1.733

Entry 3:
PBE RbLi2UF8, optimized geometry; uncorrected formation energy = -36.600 eV per formula unit
1.0
6.081 0.000 0.000
3.040 5.266 0.000
3.040 1.755 7.012
Rb F Li U
1 8 2 1
Cartesian
0.000 0.000 0.000
3.040 1.755 2.019
7.600 2.634 4.654
6.081 5.264 4.654
4.562 4.388 2.358
6.081 1.757 2.358
4.562 2.634 4.654
7.600 4.388 2.358
9.121 5.266 4.993
9.121 5.266 3.285
3.040 1.755 3.727
6.081 3.511 3.506

Entry 4:
PBE Rb4Li3UF12, optimized geometry; density of states at the Fermi level = 7.02 states/eV per cell; uncorrected formation energy = -58.266 eV per formula unit
1.0
-4.652 -5.000 2.962
0.134 -0.813 -7.398
6.842 -1.051 2.736
Li Rb F U
3 4 12 1
Cartesian
1.095 -3.025 2.849
3.488 -0.932 -2.331
-2.259 -2.906 -2.218
0.067 -0.407 -3.699
-2.326 -2.500 1.481
1.162 -3.432 -0.850
3.421 -0.526 1.368
4.036 -2.445 -0.906
0.528 -1.459 1.374
-3.428 -4.411 -3.366
-1.090 -1.402 -1.070
2.359 -2.385 -3.440
-0.034 -4.479 1.740
1.683 -0.450 -1.124
-0.515 -3.372 -3.383
1.662 -4.591 4.324
5.294 -1.415 -3.537
-1.711 -4.419 -0.794
2.839 -3.492 1.684
0.000 0.000 0.000